Record 1
# InCoPO

InCoPO after structural relaxation (GGA+U, the Open Quantum Materials Database).

Properties
Energy above the most stable polymorph in this dataset = 265 meV per atom
Final energy = -38.10 eV for the cell shown
M_tot = 0.737 μB/atom

Cell: 4.1461 4.1461 8.6326 Å, 90.00 90.00 90.00°
With the nearest neighbours (Å) after each atom.
Positions (direct):
In (0.7500, 0.2500, 0.5000)  4 P 2.63, 4 In 2.93
In (0.2500, 0.7500, 0.5000)  4 P 2.63, 4 In 2.93
P (0.2500, 0.2500, 0.6868)  1 Co 2.39, 4 In 2.63
P (0.7500, 0.7500, 0.3132)  1 Co 2.39, 4 In 2.63
Co (0.7500, 0.7500, 0.0366)  4 O 2.10
Co (0.2500, 0.2500, 0.9634)  4 O 2.10
O (0.7500, 0.2500, 0.0000)  4 Co 2.10
O (0.2500, 0.7500, 0.0000)  4 Co 2.10



Record 2
# InCoPO

InCoPO after structural relaxation (GGA+U, the Open Quantum Materials Database).

Properties
Energy above the most stable polymorph in this dataset = 0 meV per atom
Final energy = -40.22 eV for the cell shown
M_tot = 0.724 μB/atom

Cell: 3.7531 6.3361 5.9813 Å, 90.00 90.00 90.00°
With the nearest neighbours (Å) after each atom.
Positions (direct):
Co (0.5000, 0.3793, 0.0316)  2 O 2.02
Co (0.5000, 0.6207, 0.5316)  2 O 2.02
P (0.0000, 0.7888, 0.3893)  2 Co 2.32, 2 In 2.53-2.54
P (0.0000, 0.2112, 0.8893)  2 Co 2.32, 2 In 2.53-2.54
In (0.0000, 0.1814, 0.4662)  2 O 2.22
In (0.0000, 0.8186, 0.9662)  2 O 2.22
O (0.5000, 0.3429, 0.3669)  2 Co 2.02, 2 In 2.22
O (0.5000, 0.6571, 0.8669)  2 Co 2.02, 2 In 2.22



Record 3
# InCoPO

InCoPO after structural relaxation (GGA+U, the Open Quantum Materials Database).

Properties
Energy above the most stable polymorph in this dataset = 56 meV per atom
Final energy = -39.77 eV for the cell shown
M_tot = 0.173 μB/atom

Cell: 3.8869 3.8869 7.2660 Å, 90.00 90.00 90.00°
With the nearest neighbours (Å) after each atom.
Positions (direct):
O (0.5000, 0.5000, 0.0000)  4 In 2.21
O (0.0000, 0.0000, 0.0000)  4 In 2.21
P (0.0000, 0.5000, 0.6416)  4 Co 2.20
P (0.5000, 0.0000, 0.3584)  4 Co 2.20
Co (0.5000, 0.5000, 0.5000)  4 P 2.20
Co (0.0000, 0.0000, 0.5000)  4 P 2.20
In (0.0000, 0.5000, 0.1447)  4 O 2.21
In (0.5000, 0.0000, 0.8553)  4 O 2.21



Record 4
# InCoPO

InCoPO after structural relaxation (GGA+U, the Open Quantum Materials Database).

Properties
Energy above the most stable polymorph in this dataset = 62 meV per atom
Final energy = -39.72 eV for the cell shown
M_tot = 0.750 μB/atom

Cell: 3.8773 6.1141 6.0361 Å, 90.00 90.00 90.00°
With the nearest neighbours (Å) after each atom.
Positions (direct):
Co (0.0000, 0.2937, 0.9689)  2 O 2.13, 2 P 2.34-2.35
Co (0.0000, 0.7063, 0.4689)  2 O 2.13, 2 P 2.34-2.35
O (0.5000, 0.1678, 0.8946)  2 Co 2.13, 2 In 2.17-2.20
O (0.5000, 0.8322, 0.3946)  2 Co 2.13, 2 In 2.17-2.20
In (0.5000, 0.8362, 0.0357)  2 O 2.17-2.20
In (0.5000, 0.1638, 0.5357)  2 O 2.17-2.20
P (0.0000, 0.6602, 0.8548)  2 Co 2.34-2.35, 2 In 2.47
P (0.0000, 0.3398, 0.3548)  2 Co 2.34-2.35, 2 In 2.47



Record 5
# YInCoO3

YInCoO3 after structural relaxation (GGA+U, the Open Quantum Materials Database).

Properties
Final energy = -80.07 eV for the cell shown
M_tot = 0.496 μB/atom

Cell: 8.8414 8.8414 6.4185 Å, 90.00 90.00 20.74°
With the nearest neighbours (Å) after each atom.
Positions (direct):
O (0.1284, 0.1284, 0.5339)  2 Co 2.12, 1 In 2.23, 1 Y 2.24
O (0.5007, 0.5007, 0.2500)  4 Y 2.26, 1 Co 2.44
O (0.8716, 0.8716, 0.0339)  2 Co 2.12, 1 In 2.23, 1 Y 2.24
O (0.8716, 0.8716, 0.4661)  2 Co 2.12, 1 In 2.23, 1 Y 2.24
O (0.1284, 0.1284, 0.9661)  2 Co 2.12, 1 In 2.23, 1 Y 2.24
O (0.4993, 0.4993, 0.7500)  4 Y 2.26, 1 Co 2.44
Y (0.0000, 0.0000, 0.5000)  6 O 2.24-2.26
Y (0.0000, 0.0000, 0.0000)  6 O 2.24-2.26
Co (0.3602, 0.3602, 0.2500)  4 O 2.12
Co (0.6398, 0.6398, 0.7500)  4 O 2.12
In (0.7981, 0.7981, 0.7500)  2 O 2.23
In (0.2019, 0.2019, 0.2500)  2 O 2.23



Which formula does entry 4 have?
InCoPO